This record from Alexandria via LeMat-Bulk describes crystalline AcPm4HoEr2 at its relaxed geometry. The functional is GGA-PBE.

abc: 5.9416 5.9553 7.7620
angles: 90.00 90.00 90.00
Last column: nearest neighbours and their distance in Å.
Fractional coordinates of all 8 atoms:
Ac 0.0000 0.0000 0.0000  8 Pm 3.64, 2 Er 3.88
Pm 0.0000 0.5000 0.2701  2 Ho 3.47, 4 Er 3.47-3.64, 1 Pm 3.57, 2 Ac 3.64
Pm 0.0000 0.5000 0.7299  2 Ho 3.47, 4 Er 3.47-3.64, 1 Pm 3.57, 2 Ac 3.64
Pm 0.5000 0.0000 0.2712  4 Er 3.46-3.65, 2 Ho 3.47, 1 Pm 3.55, 2 Ac 3.64
Pm 0.5000 0.0000 0.7288  4 Er 3.46-3.65, 2 Ho 3.47, 1 Pm 3.55, 2 Ac 3.64
Ho 0.5000 0.5000 0.5000  8 Pm 3.47, 2 Er 3.88
Er 0.0000 0.0000 0.5000  8 Pm 3.46-3.47
Er 0.5000 0.5000 0.0000  8 Pm 3.64-3.65, 2 Ho 3.88

Results
The formation energy from the elements comes out at 97 kJ/mol of formula units. As for the symmetry: No. 47. As for the total energy: -4.477 eV/atom. The value obtained for the spin magnetization is 0.0 μB/f.u.